## Ce12PuPt6 (PBE-GGA)

Data for an optimized crystal structure of Ce12PuPt6.

Cell lengths 8.2166, 8.2166, 8.2166 Å; angles 98.24, 98.24, 98.24 degrees
Atoms (fractional coordinates):
Pt1 0.6868 0.8722 0.3847
Pt2 0.6153 0.3132 0.1278
Pt3 0.1278 0.6153 0.3132
Pt4 0.3132 0.1278 0.6153
Pt5 0.3847 0.6868 0.8722
Pt6 0.8722 0.3847 0.6868
Ce1 0.8175 0.5848 0.4095
Ce2 0.2953 0.0729 0.9735
Ce3 0.1825 0.4152 0.5905
Ce4 0.4095 0.8175 0.5848
Ce5 0.7047 0.9271 0.0265
Ce6 0.5905 0.1825 0.4152
Ce7 0.0265 0.7047 0.9271
Ce8 0.0729 0.9735 0.2953
Ce9 0.5848 0.4095 0.8175
Ce10 0.9271 0.0265 0.7047
Ce11 0.9735 0.2953 0.0729
Ce12 0.4152 0.5905 0.1825
Pu1 0.0000 0.0000 0.0000

Results
The total moment comes out at 6.30 μB per cell. The calculation puts the formation energy at -0.666 eV per atom.